Below is a relaxed AcYIn2Ag2 crystal, with properties calculated at the PBE level.

DFT total energy = -24.2 eV/f.u.
energy of formation from the pure elements = -406 meV per atom

Geometry as CIF:
```
data_AcYIn2Ag2
_chemical_formula_sum 'Ac1 Y1 In2 Ag2'
_cell_length_a 4.8860
_cell_length_b 4.8860
_cell_length_c 7.7667
_cell_angle_alpha 90.00
_cell_angle_beta 90.00
_cell_angle_gamma 120.00
_symmetry_space_group_name_H-M 'P -3 m 1'
_symmetry_Int_Tables_number 164
_symmetry_space_group_name_Hall '-P 3 2"'
loop_
_atom_site_label
_atom_site_type_symbol
_atom_site_fract_x
_atom_site_fract_y
_atom_site_fract_z
_atom_site_occupancy
Ac1 Ac 0.0000 0.0000 0.0000 1
Y1 Y 0.0000 0.0000 0.5000 1
In1 In 0.3333 0.6667 0.2853 1
Ag1 Ag 0.3333 0.6667 0.7017 1
```



Below is a relaxed AcZnInAg6 crystal, with properties calculated at the PBE level.

DFT total energy = -25.9 eV/f.u.
energy of formation from the pure elements = -80 meV per atom

Geometry as CIF:
```
data_AcZnInAg6
_chemical_formula_sum 'Ac4 Zn4 In4 Ag24'
_cell_length_a 5.966
_cell_length_b 8.772
_cell_length_c 15.408
_cell_angle_alpha 90.00
_cell_angle_beta 90.00
_cell_angle_gamma 90.00
_symmetry_space_group_name_H-M 'I m m a'
_symmetry_Int_Tables_number 74
_symmetry_space_group_name_Hall '-I 2b 2'
loop_
_atom_site_label
_atom_site_type_symbol
_atom_site_fract_x
_atom_site_fract_y
_atom_site_fract_z
_atom_site_occupancy
Ac1 Ac 0.000 0.250 0.005 1
Zn1 Zn 0.250 0.250 0.250 1
In1 In 0.000 0.000 0.500 1
Ag1 Ag 0.000 0.250 0.390 1
Ag2 Ag 0.000 0.250 0.751 1
Ag3 Ag 0.239 0.019 0.845 1
```



Below is a relaxed AcZnInAg crystal, with properties calculated at the PBE level.

DFT total energy = -12.2 eV/f.u.
energy of formation from the pure elements = -303 meV per atom

Geometry as CIF:
```
data_AcZnInAg
_chemical_formula_sum 'Ac4 Zn4 In4 Ag4'
_cell_length_a 7.372
_cell_length_b 7.372
_cell_length_c 7.372
_cell_angle_alpha 90.00
_cell_angle_beta 90.00
_cell_angle_gamma 90.00
_symmetry_space_group_name_H-M 'F -4 3 m'
_symmetry_Int_Tables_number 216
_symmetry_space_group_name_Hall 'F -4 2 3'
loop_
_atom_site_label
_atom_site_type_symbol
_atom_site_fract_x
_atom_site_fract_y
_atom_site_fract_z
_atom_site_occupancy
Ac1 Ac 0.000 0.000 0.000 1
Zn1 Zn 0.250 0.250 0.750 1
In1 In 0.000 0.000 0.500 1
Ag1 Ag 0.250 0.250 0.250 1
```



Below is a relaxed Ac2ZnInAg6 crystal, with properties calculated at the PBE level.

DFT total energy = -29.3 eV/f.u.
energy of formation from the pure elements = 4 meV per atom

Geometry as CIF:
```
data_Ac2ZnInAg6
_chemical_formula_sum 'Ac8 Zn4 In4 Ag24'
_cell_length_a 10.162
_cell_length_b 10.178
_cell_length_c 10.194
_cell_angle_alpha 90.00
_cell_angle_beta 90.00
_cell_angle_gamma 90.00
_symmetry_space_group_name_H-M 'F m m m'
_symmetry_Int_Tables_number 69
_symmetry_space_group_name_Hall '-F 2 2'
loop_
_atom_site_label
_atom_site_type_symbol
_atom_site_fract_x
_atom_site_fract_y
_atom_site_fract_z
_atom_site_occupancy
Ac1 Ac 0.250 0.250 0.250 1
Zn1 Zn 0.000 0.000 0.000 1
In1 In 0.000 0.000 0.500 1
Ag1 Ag 0.000 0.000 0.240 1
Ag2 Ag 0.000 0.240 0.000 1
Ag3 Ag 0.240 0.000 0.000 1
```



| no. | total magnetization (μB/f.u.) |
| --- | --- |
| 1 | 0.00 |
| 2 | 0.00 |
| 3 | 0.00 |
| 4 | 0.00 |